{
  "formula": "Th2CoSiC",
  "functional": "PBE",
  "state": "optimized geometry",
  "vol_a3_per_fu": 99,
  "formation_energy_uncorrected_ev_per_atom": -0.525,
  "space_group": "P2_1/m",
  "lattice_angstrom": [[6.4444, 0.0000, 0.0000], [0.0000, 3.9472, 0.0000], [-3.1041, 0.0000, 7.7650]],
  "species": ["Th", "Th", "Th", "Th", "Co", "Co", "Si", "Si", "C", "C"],
  "fractional_positions": [[0.2199, 0.2500, 0.4022], [0.2265, 0.2500, 0.9690], [0.7735, 0.7500, 0.0310], [0.7801, 0.7500, 0.5978], [0.4903, 0.7500, 0.2602], [0.5097, 0.2500, 0.7398], [0.3055, 0.7500, 0.7097], [0.6945, 0.2500, 0.2903], [0.1784, 0.7500, 0.1828], [0.8216, 0.2500, 0.8172]]
}



{
  "formula": "BaAlGa2Tc",
  "functional": "PBE",
  "state": "optimized geometry",
  "vol_a3_per_fu": 119,
  "e_form_ev_per_atom": -0.387,
  "space_group": "P4/mmm",
  "lattice_angstrom": [[4.9413, 0.0000, 0.0000], [0.0000, 4.9413, 0.0000], [0.0000, 0.0000, 4.8890]],
  "species": ["Ba", "Al", "Ga", "Ga", "Tc"],
  "fractional_positions": [[0.0000, 0.0000, 0.0000], [0.5000, 0.5000, 0.0000], [0.0000, 0.5000, 0.5000], [0.5000, 0.0000, 0.5000], [0.5000, 0.5000, 0.5000]]
}



{
  "formula": "Nd2Ga12Ag",
  "functional": "PBE",
  "state": "optimized geometry",
  "vol_a3_per_fu": 303,
  "e_form_ev_per_atom": -0.312,
  "space_group": "P4/nbm",
  "lattice_angstrom": [[6.2833, 0.0000, 0.0000], [0.0000, 6.2833, 0.0000], [0.0000, 0.0000, 15.3405]],
  "species": ["Nd", "Nd", "Nd", "Nd", "Ga", "Ga", "Ga", "Ga", "Ga", "Ga", "Ga", "Ga", "Ga", "Ga", "Ga", "Ga", "Ga", "Ga", "Ga", "Ga", "Ga", "Ga", "Ga", "Ga", "Ga", "Ga", "Ga", "Ga", "Ag", "Ag"],
  "fractional_positions": [[0.2500, 0.7500, 0.2473], [0.2500, 0.7500, 0.7527], [0.7500, 0.2500, 0.2473], [0.7500, 0.2500, 0.7527], [0.0003, 0.9997, 0.0922], [0.9997, 0.0003, 0.9078], [0.9997, 0.4997, 0.0922], [0.0003, 0.5003, 0.9078], [0.0799, 0.5799, 0.4304], [0.0799, 0.9201, 0.5696], [0.2500, 0.2500, 0.1847], [0.2500, 0.2500, 0.3461], [0.2500, 0.2500, 0.6539], [0.2500, 0.2500, 0.8153], [0.4201, 0.5799, 0.5696], [0.4201, 0.9201, 0.4304], [0.5003, 0.0003, 0.0922], [0.4997, 0.9997, 0.9078], [0.4997, 0.5003, 0.0922], [0.5003, 0.4997, 0.9078], [0.5799, 0.0799, 0.5696], [0.5799, 0.4201, 0.4304], [0.7500, 0.7500, 0.1847], [0.7500, 0.7500, 0.3461], [0.7500, 0.7500, 0.6539], [0.7500, 0.7500, 0.8153], [0.9201, 0.0799, 0.4304], [0.9201, 0.4201, 0.5696], [0.2500, 0.7500, 0.0000], [0.7500, 0.2500, 0.0000]]
}



Copy entry 2 word for word.
{
  "formula": "BaAlGa2Tc",
  "functional": "PBE",
  "state": "optimized geometry",
  "vol_a3_per_fu": 119,
  "e_form_ev_per_atom": -0.387,
  "space_group": "P4/mmm",
  "lattice_angstrom": [[4.9413, 0.0000, 0.0000], [0.0000, 4.9413, 0.0000], [0.0000, 0.0000, 4.8890]],
  "species": ["Ba", "Al", "Ga", "Ga", "Tc"],
  "fractional_positions": [[0.0000, 0.0000, 0.0000], [0.5000, 0.5000, 0.0000], [0.0000, 0.5000, 0.5000], [0.5000, 0.0000, 0.5000], [0.5000, 0.5000, 0.5000]]
}



Which formula does entry 3 have? Nd2Ga12Ag